1.
The following is a DFT calculation (PBE) of a geometry-optimized Mg14AlV structure.

Unit cell a=6.271 b=6.271 c=10.238 alpha=90.00 beta=90.00 gamma=120.00
Positions (direct):
Mg 0.500 0.500 0.500
Mg 0.999 0.500 0.000
Mg 0.163 0.326 0.747
Mg 0.674 0.837 0.747
Mg 0.667 0.333 0.749
Mg 0.500 0.999 0.500
Mg 0.674 0.837 0.253
Mg 0.163 0.326 0.253
Mg 0.163 0.837 0.253
Mg 0.163 0.837 0.747
Mg 0.500 0.001 0.000
Mg 0.667 0.333 0.251
Mg 0.001 0.500 0.500
Mg 0.500 0.500 0.000
V 0.000 0.000 0.500
Al 0.000 0.000 0.000

Calculated values
Offset from the most stable computed form, meV/atom: 11
Size of the total moment, μB per formula unit: 3.809



2.
The following is a DFT calculation (PBE) of a geometry-optimized CsHoAg2I6 structure.

Unit cell a=9.358 b=11.002 c=11.002 alpha=82.58 beta=72.33 gamma=72.33
Positions (direct):
Cs 0.250 0.829 0.171
Cs 0.750 0.171 0.829
Ag 0.631 0.385 0.482
Ag 0.131 0.482 0.385
Ag 0.369 0.615 0.518
Ag 0.869 0.518 0.615
I 0.461 0.454 0.294
I 0.516 0.157 0.600
I 0.329 0.183 0.053
I 0.539 0.546 0.706
I 0.961 0.294 0.454
I 0.671 0.817 0.947
I 0.039 0.706 0.546
I 0.016 0.600 0.157
I 0.829 0.053 0.183
I 0.984 0.400 0.843
I 0.484 0.843 0.400
I 0.171 0.947 0.817
Ho 0.250 0.178 0.822
Ho 0.750 0.822 0.178

Calculated values
Energy relative to the elements, uncorrected, eV per atom: -0.896
Size of the total moment, μB per formula unit: 0.000



3.
The following is a DFT calculation (PBE) of a geometry-optimized LiSnGePb structure.

Unit cell a=5.125 b=5.125 c=5.125 alpha=60.00 beta=60.00 gamma=60.00
Positions (direct):
Li 0.500 0.500 0.500
Ge 0.000 0.000 0.000
Sn 0.250 0.250 0.250
Pb 0.750 0.750 0.750

Calculated values
E, eV for the cell shown: -14.2
Size of the total moment, μB per formula unit: 0.000



Which value of size of the total moment does entry 1 give?
3.809 μB per formula unit